Material: H2IrRuO
Method: DFT, GGA-PBE
State: relaxed

Calculated values
polymorph energy (0 for the lowest one)	117	meV per atom
crystal system	tetragonal

abc: 3.378 4.290 3.378
angles: 90.00 90.00 90.00
Atoms (fractional coordinates):
Ru 0.500 0.500 0.500
Ir 0.000 0.000 0.000
O 0.000 0.500 0.000
H 0.000 0.000 0.500
H 0.500 0.000 0.000